Arrangement P

# PmThTe

A relaxed PmThTe crystal (PBE, the Alexandria database).

Values from the calculation:
For the total moment, the calculation gives 0.0 Bohr magnetons per cell.

Unit cell a=3.837 b=5.445 c=5.445 alpha=120.00 beta=90.00 gamma=90.00
Element x y z (fractional)
1 Te 0.202 0.333 0.667
2 Th 0.150 0.000 0.000
3 Pm 0.648 0.667 0.333

Arrangement Q

# PmThTe

A relaxed PmThTe crystal (PBE, the Alexandria database).

Values from the calculation:
For the total moment, the calculation gives 0.0 Bohr magnetons per cell.

Unit cell a=3.868 b=3.868 c=6.983 alpha=106.08 beta=106.08 gamma=90.00
Element x y z (fractional)
1 Te 0.667 0.667 0.333
2 Th 0.019 0.019 0.038
3 Pm 0.314 0.314 0.628

Computed relative energies in units of meV/atom: arrangement P 310; arrangement Q 0

Arrangement P

# Pm2Th2Te7

A relaxed Pm2Th2Te7 crystal (PBE, the Alexandria database).

Values from the calculation:
For the total moment, the calculation gives 0.0 Bohr magnetons per cell.

Unit cell a=4.451 b=9.760 c=9.760 alpha=60.93 beta=76.82 gamma=76.82
Element x y z (fractional)
1 Pm 0.737 0.852 0.673
2 Pm 0.263 0.327 0.148
3 Th 0.000 0.778 0.222
4 Th 0.500 0.326 0.674
5 Te 0.818 0.070 0.295
6 Te 0.862 0.425 0.852
7 Te 0.500 0.012 0.988
8 Te 0.609 0.497 0.286
9 Te 0.391 0.714 0.503
10 Te 0.182 0.705 0.930
11 Te 0.138 0.148 0.575

Arrangement Q

# Pm2Th2Te7

A relaxed Pm2Th2Te7 crystal (PBE, the Alexandria database).

Values from the calculation:
For the total moment, the calculation gives 0.0 Bohr magnetons per cell.

Unit cell a=4.457 b=9.690 c=9.690 alpha=61.54 beta=76.70 gamma=76.70
Element x y z (fractional)
1 Pm 0.000 0.778 0.222
2 Pm 0.500 0.323 0.677
3 Th 0.737 0.854 0.672
4 Th 0.263 0.328 0.146
5 Te 0.818 0.071 0.293
6 Te 0.856 0.432 0.855
7 Te 0.500 0.011 0.989
8 Te 0.612 0.490 0.286
9 Te 0.388 0.714 0.510
10 Te 0.182 0.707 0.929
11 Te 0.144 0.145 0.568

Computed relative energies in units of meV/atom: arrangement P 9; arrangement Q 0

Arrangement P

# Pm2ThTe4

A relaxed Pm2ThTe4 crystal (PBE, the Alexandria database).

Values from the calculation:
For the total moment, the calculation gives 0.0 Bohr magnetons per cell.

Unit cell a=4.431 b=7.675 c=7.675 alpha=108.77 beta=90.00 gamma=90.00
Element x y z (fractional)
1 Pm 0.500 0.000 0.500
2 Pm 0.500 0.500 0.000
3 Th 0.000 0.000 0.000
4 Te 0.000 0.741 0.259
5 Te 0.500 0.744 0.744
6 Te 0.500 0.256 0.256
7 Te 0.000 0.259 0.741

Arrangement Q

# Pm2ThTe4

A relaxed Pm2ThTe4 crystal (PBE, the Alexandria database).

Values from the calculation:
For the total moment, the calculation gives 0.0 Bohr magnetons per cell.

Unit cell a=4.340 b=7.617 c=15.187 alpha=90.00 beta=90.00 gamma=106.55
Element x y z (fractional)
1 Pm 0.136 0.272 0.433
2 Pm 0.864 0.728 0.933
3 Pm 0.136 0.272 0.067
4 Pm 0.864 0.728 0.567
5 Th 0.626 0.251 0.750
6 Th 0.374 0.749 0.250
7 Te 0.780 0.559 0.126
8 Te 0.780 0.559 0.374
9 Te 0.220 0.441 0.874
10 Te 0.220 0.441 0.626
11 Te 0.967 0.934 0.750
12 Te 0.033 0.066 0.250
13 Te 0.500 0.000 0.000
14 Te 0.500 0.000 0.500

Computed relative energies in units of meV/atom: arrangement P 0; arrangement Q 69